This record from OQMD via LeMat-Bulk describes a relaxed structure of AcPaAg. The functional is PBE.

DFT formation energy   0.653 eV/atom
Electronic total energy   -57.87 eV/cell
Total moment   2.244 μB per formula unit

Lattice parameters (Å, degrees): 7.333 7.333 7.333 90.00 90.00 90.00
Space group F-43m (No. 216)
Unique sites:
Ac 0.000 0.000 0.000
Pa 0.000 0.000 0.500
Ag 0.250 0.250 0.250